## Nb8MoOs2 (PBE)

Data for a geometry-optimized Nb8MoOs2 structure.

Cell: 5.2754 7.5927 7.5927 Å, 40.78 85.83 85.83°
With the nearest neighbours (Å) after each atom.
Fractional positions:
Nb 0.3706 0.3445 0.8462  4 Nb 2.64-2.94, 2 Os 2.69-2.84, 1 Mo 2.80
Nb 0.6294 0.1538 0.6555  4 Nb 2.64-2.94, 2 Os 2.69-2.84, 1 Mo 2.80
Nb 0.1084 0.7886 0.7886  2 Os 2.69-2.76
Nb 0.8916 0.2114 0.2114  2 Os 2.69-2.76
Nb 0.3706 0.8462 0.3445  4 Nb 2.64-2.94, 2 Os 2.69-2.84, 1 Mo 2.80
Nb 0.6294 0.6555 0.1538  4 Nb 2.64-2.94, 2 Os 2.69-2.84, 1 Mo 2.80
Nb 0.8803 0.5827 0.5827  1 Os 2.56, 1 Nb 2.58
Nb 0.1197 0.4173 0.4173  1 Os 2.56, 1 Nb 2.58
Mo 0.0000 0.0000 0.0000  10 Nb 2.80-3.02
Os 0.6109 0.7405 0.7405  7 Nb 2.56-2.84
Os 0.3891 0.2595 0.2595  7 Nb 2.56-2.84

Properties
For the density of states at the Fermi level, the calculation gives 10.452 states/eV/cell. For the calculated total energy, the calculation gives -113.24 eV per formula unit. The calculation puts the energy relative to the elements at 0.055 eV per atom. The value obtained for the size of the total moment is 0.000 μB per cell.

=====

## Nb2Mo6Os (PBE)

Data for a geometry-optimized Nb2Mo6Os structure.

Cell: 5.0837 4.9640 6.6876 Å, 68.21 103.32 90.10°
With the nearest neighbours (Å) after each atom.
Fractional positions:
Nb 0.9246 0.6075 0.7843  1 Mo 2.55, 1 Nb 2.60, 2 Os 2.80
Nb 0.0754 0.3925 0.2157  1 Mo 2.55, 1 Nb 2.60, 2 Os 2.80
Mo 0.8554 0.8183 0.3634  1 Os 2.54, 3 Mo 2.55-2.82, 1 Nb 2.55
Mo 0.1446 0.1817 0.6366  1 Os 2.54, 3 Mo 2.55-2.82, 1 Nb 2.55
Mo 0.3682 0.7392 0.5222  1 Mo 2.55
Mo 0.4995 0.2557 0.0004  2 Mo 2.42-2.54
Mo 0.5005 0.7443 0.9996  2 Mo 2.42-2.54
Mo 0.6318 0.2608 0.4778  1 Mo 2.55
Os 0.0000 0.0000 0.0000  4 Mo 2.54-2.84, 4 Nb 2.80

Properties
For the density of states at the Fermi level, the calculation gives 6.874 states/eV/cell. For the calculated total energy, the calculation gives -94.42 eV per formula unit. The calculation puts the energy relative to the elements at 0.215 eV per atom. The value obtained for the size of the total moment is 0.000 μB per cell.